# 1
The following is a DFT calculation (SCAN) of a PBEsol-optimized structure of Li3MgRu.

Calculated values
The calculation puts the energy at -43.52 eV for the cell shown.

abc: 4.5502 4.5502 4.5502
angles: 90.00 90.00 90.00
With the nearest neighbours (Å) after each atom.
Space group Pm-3m (No. 221)
Unique sites:
Li1 0.0000 0.0000 0.5000 [3 per cell]  2 Ru 2.28
Mg1 0.5000 0.5000 0.5000 [1 per cell]  12 Li 3.22
Ru1 0.0000 0.0000 0.0000 [1 per cell]  6 Li 2.28

# 2
The following is a DFT calculation (SCAN) of a PBEsol-optimized structure of SrHgAs2Br.

Calculated values
The value obtained for the uncorrected formation energy is 0.92 eV per formula unit.

abc: 6.1978 6.1978 5.7455
angles: 90.00 90.00 90.00
With the nearest neighbours (Å) after each atom.
Space group P4/mmm (No. 123)
Unique sites:
Sr1 0.0000 0.0000 0.0000 [1 per cell]  2 Br 2.87, 4 As 3.10
Hg1 0.5000 0.5000 0.5000 [1 per cell]  8 As 4.23, 4 Br 4.38
As1 0.0000 0.5000 0.0000 [2 per cell]  2 Sr 3.10
Br1 0.0000 0.0000 0.5000 [1 per cell]  2 Sr 2.87

# 3
The following is a DFT calculation (SCAN) of a PBEsol-optimized structure of CaTa2Cr.

Calculated values
The energy above the most stable polymorph in this dataset is 0.000 eV/atom.

abc: 3.2464 3.2464 7.4570
angles: 90.00 90.00 90.00
With the nearest neighbours (Å) after each atom.
Space group P4mm (No. 99)
Unique sites:
Ca1 0.0000 0.0000 0.0000 [1 per cell]  4 Cr 3.17, 4 Ca 3.25, 5 Ta 3.39
Ta1 0.0000 0.0000 0.4551 [1 per cell]  4 Cr 2.60, 4 Ta 2.78
Ta2 0.5000 0.5000 0.6650 [1 per cell]  4 Ta 2.78, 1 Cr 2.78
Cr1 0.5000 0.5000 0.2922 [1 per cell]  5 Ta 2.60-2.78

# 4
The following is a DFT calculation (SCAN) of a PBEsol-optimized structure of InWAu2.

Calculated values
The calculation puts the energy at -239.52 eV for the cell shown.

abc: 2.9429 4.8561 4.8937
angles: 90.00 90.00 90.00
With the nearest neighbours (Å) after each atom.
Space group Pmmm (No. 47)
Unique sites:
In1 0.0000 0.0000 0.0000 [1 per cell]  4 W 2.84, 4 Au 2.86, 2 In 2.94
W1 0.5000 0.5000 0.0000 [1 per cell]  4 In 2.84, 4 Au 2.86, 2 W 2.94
Au1 0.0000 0.5000 0.5000 [1 per cell]  6 Au 2.84-2.94, 4 W 2.86
Au2 0.5000 0.0000 0.5000 [1 per cell]  6 Au 2.84-2.94, 4 In 2.86

# 5
The following is a DFT calculation (SCAN) of a PBEsol-optimized structure of ZnCd4As.

Calculated values
The calculation puts the energy at -613.40 eV for the cell shown.

abc: 7.9613 7.9613 7.9613
angles: 90.00 90.00 90.00
With the nearest neighbours (Å) after each atom.
Space group F-43m (No. 216)
Unique sites:
Zn1 0.0000 0.0000 0.0000 [4 per cell]  12 Cd 3.30, 4 As 3.45
Cd1 0.1251 0.1251 0.6251 [16 per cell]  6 Cd 2.81-2.82
As1 0.2500 0.2500 0.2500 [4 per cell]  12 Cd 3.30, 4 Zn 3.45

# 6
The following is a DFT calculation (SCAN) of a PBEsol-optimized structure of Y4SbRu.

Calculated values
The value obtained for the uncorrected formation energy is 3.21 eV per formula unit.

abc: 8.3685 8.3685 8.3685
angles: 90.00 90.00 90.00
With the nearest neighbours (Å) after each atom.
Space group F-43m (No. 216)
Unique sites:
Y1 0.1239 0.1239 0.1239 [16 per cell]  6 Y 2.93-2.99
Sb1 0.0000 0.0000 0.5000 [4 per cell]  12 Y 3.47, 4 Ru 3.62
Ru1 0.2500 0.2500 0.7500 [4 per cell]  12 Y 3.47, 4 Sb 3.62

# 7
The following is a DFT calculation (SCAN) of a PBEsol-optimized structure of BePd3W.

Calculated values
The calculation puts the energy at -170.03 eV for the cell shown.

abc: 4.1480 4.1480 4.1480
angles: 90.00 90.00 90.00
With the nearest neighbours (Å) after each atom.
Space group Pm-3m (No. 221)
Unique sites:
Be1 0.0000 0.0000 0.0000 [1 per cell]  6 Pd 2.07
Pd1 0.0000 0.0000 0.5000 [3 per cell]  2 Be 2.07
W1 0.5000 0.5000 0.5000 [1 per cell]  12 Pd 2.93

# 8
The following is a DFT calculation (SCAN) of a PBEsol-optimized structure of SrCuAu.

Calculated values
The calculation puts the energy at -108.31 eV for the cell shown.

abc: 4.4384 4.4384 4.0196
angles: 90.00 90.00 120.00
With the nearest neighbours (Å) after each atom.
Space group P-6m2 (No. 187)
Unique sites:
Sr1 0.0000 0.0000 0.0000 [1 per cell]  6 Au 3.26, 6 Cu 3.26
Cu1 0.3333 0.6667 0.5000 [1 per cell]  3 Au 2.56
Au1 0.6667 0.3333 0.5000 [1 per cell]  3 Cu 2.56

Number 4 is which compound?
InWAu2